DFT (PBE) results for CaPrBr4 after structural relaxation.

a b c (Å): 7.569 3.976 7.687
angles (deg): 90.00 106.52 90.00
Space group P2/m (No. 10)
One atom of each set of equivalent atoms:
Ca: 0.000 0.000 0.000 (multiplicity 1)
Pr: 0.000 0.500 0.500 (multiplicity 1)
Br: 0.227 0.500 0.235 (multiplicity 2)
Br: 0.242 0.000 0.765 (multiplicity 2)

Values from the calculation:
The total energy is -4.055 eV/atom. The value obtained for the formation energy from raw total energies is -1.810 eV per atom.